# Mn3SiH (GGA-PBE, relaxed)
data_Mn3SiH
_symmetry_space_group_name_H-M 'P 1'
_symmetry_Int_Tables_number 1
_symmetry_space_group_name_Hall 'P 1'
_cell_length_a 4.061
_cell_length_b 4.061
_cell_length_c 7.285
_cell_angle_alpha 90.00
_cell_angle_beta 90.00
_cell_angle_gamma 120.00
loop_
_atom_site_label
_atom_site_type_symbol
_atom_site_fract_x
_atom_site_fract_y
_atom_site_fract_z
H1 H 0.000 0.000 0.000
H2 H 0.000 0.000 0.500
Si1 Si 0.333 0.667 0.750
Si2 Si 0.667 0.333 0.250
Mn1 Mn 0.000 0.000 0.250
Mn2 Mn 0.000 0.000 0.750
Mn3 Mn 0.333 0.667 0.079
Mn4 Mn 0.333 0.667 0.421
Mn5 Mn 0.667 0.333 0.579
Mn6 Mn 0.667 0.333 0.921
# **Space group**: P6_3/mmc, No. 194
# **Spin magnetization**: 1.43 μB per atom
# **E_tot**: -7.233 eV per atom